VASP calculation (PBE) on crystalline AcCuRe2O8 at its relaxed geometry.

Unit cell a=5.7620 b=5.7620 c=6.9156 alpha=65.38 beta=65.38 gamma=60.00
With the nearest neighbours (Å) after each atom.
Sites, in units of the cell vectors:
Re  0.2695  0.2695  0.1916  4 O 1.80-1.81
O  0.1092  0.0325  0.2686  1 Re 1.80
O  0.8908  0.4103  0.7314  1 Re 1.80
O  0.5897  0.1092  0.2686  1 Re 1.80
O  0.6310  0.6310  0.1070  1 Re 1.81
O  0.0325  0.5897  0.2686  1 Re 1.80
O  0.4103  0.9675  0.7314  1 Re 1.80
O  0.9675  0.8908  0.7314  1 Re 1.80
Re  0.7305  0.7305  0.8084  4 O 1.80-1.81
Cu  0.0000  0.0000  0.0000  6 O 2.29
Ac  0.5000  0.5000  0.5000  2 O 2.38
O  0.3690  0.3690  0.8930  1 Re 1.81

Calculated values
Total moment, μB/cell: 0.0
Symmetry: No. 155
Formation energy from raw total energies, eV per atom: -1.5712